Cs2BiAuI6 | GGA-PBEsol | relaxed

**Fermi-level density of states**: 1.3 states/eV/cell
**M_tot**: 0.0 μB per formula unit
**Formation energy without anion corrections**: -0.779 eV per atom

Cell lengths 8.4102, 8.4102, 8.4102 Å; angles 60.00, 60.00, 60.00 degrees
Closest atoms and distances in Å follow each position.
Sites, in units of the cell vectors:
I  0.7429  0.7429  0.2571  1 Au 2.89, 1 Bi 3.06
Cs  0.7500  0.7500  0.7500  12 I 4.21
Au  0.5000  0.5000  0.5000  6 I 2.89
I  0.2571  0.7429  0.2571  1 Au 2.89, 1 Bi 3.06
I  0.7429  0.2571  0.7429  1 Au 2.89, 1 Bi 3.06
I  0.2571  0.7429  0.7429  1 Au 2.89, 1 Bi 3.06
Cs  0.2500  0.2500  0.2500  12 I 4.21
I  0.7429  0.2571  0.2571  1 Au 2.89, 1 Bi 3.06
I  0.2571  0.2571  0.7429  1 Au 2.89, 1 Bi 3.06
Bi  0.0000  0.0000  0.0000  6 I 3.06

CsInBi2Au | GGA-PBEsol | relaxed

**Fermi-level density of states**: 5.4 states/eV/cell
**ΔH_f (0 K)**: 1.271 eV/atom
**M_tot**: 0.0 μB per formula unit

Cell lengths 5.6796, 6.2440, 6.2440 Å; angles 90.00, 90.00, 90.00 degrees
Closest atoms and distances in Å follow each position.
Sites, in units of the cell vectors:
In  0.5000  0.5000  0.5000  8 Bi 4.22, 4 Au 4.42
Au  0.5000  0.0000  0.0000  2 Cs 2.84
Cs  0.0000  0.0000  0.0000  2 Au 2.84, 4 Bi 3.12
Bi  0.0000  0.5000  0.0000  2 Cs 3.12
Bi  0.0000  0.0000  0.5000  2 Cs 3.12

CsNiBiAu2 | GGA-PBEsol | relaxed

**Fermi-level density of states**: 4.0 states/eV/cell
**ΔH_f (0 K)**: 0.638 eV/atom
**M_tot**: 0.0 μB per formula unit

Cell lengths 4.9653, 4.9972, 4.9972 Å; angles 90.00, 90.00, 90.00 degrees
Closest atoms and distances in Å follow each position.
Sites, in units of the cell vectors:
Ni  0.0000  0.0000  0.0000  2 Cs 2.48, 4 Au 2.50
Au  0.0000  0.0000  0.5000  2 Ni 2.50
Bi  0.5000  0.5000  0.5000  8 Au 3.52, 4 Cs 3.53
Au  0.0000  0.5000  0.0000  2 Ni 2.50
Cs  0.5000  0.0000  0.0000  2 Ni 2.48